#P
The following is a meta-GGA SCAN calculation of ReNiPS2 at its PBEsol-relaxed geometry, from the Alexandria database.

Cell: 4.234 4.234 4.204 Å, 90.00 90.00 90.00°
Fractional coordinates of all 5 atoms:
Re (0.000, 0.000, 0.000)
Ni (0.500, 0.500, 0.500)
P (0.500, 0.500, 0.000)
S (0.000, 0.500, 0.500)
S (0.500, 0.000, 0.500)

#Q
The following is a meta-GGA SCAN calculation of ReNiPS2 at its PBEsol-relaxed geometry, from the Alexandria database.

Cell: 4.508 4.508 4.665 Å, 90.00 90.00 90.00°
Fractional coordinates of all 5 atoms:
Re (0.000, 0.000, 0.000)
Ni (0.500, 0.500, 0.500)
P (0.000, 0.000, 0.500)
S (0.000, 0.500, 0.000)
S (0.500, 0.000, 0.000)

Most stable structure - #Q; separation to the second - 27.7 kJ/mol of atoms.

#P
The following is a meta-GGA SCAN calculation of NiP2Rh at its PBEsol-relaxed geometry, from the Alexandria database.

Cell: 3.906 2.843 4.830 Å, 90.00 113.11 90.00°
Fractional coordinates of all 4 atoms:
Ni (0.000, 0.000, 0.000)
P (0.000, 0.000, 0.500)
P (0.500, 0.500, 0.000)
Rh (0.500, 0.500, 0.500)

#Q
The following is a meta-GGA SCAN calculation of NiP2Rh at its PBEsol-relaxed geometry, from the Alexandria database.

Cell: 7.159 7.159 7.159 Å, 23.02 23.02 23.02°
Fractional coordinates of all 4 atoms:
Ni (0.000, 0.000, 0.000)
P (0.254, 0.254, 0.254)
P (0.746, 0.746, 0.746)
Rh (0.500, 0.500, 0.500)

Most stable structure - #Q; separation to the second - 4.9 kJ/mol of atoms.

#P
The following is a meta-GGA SCAN calculation of NiTeP at its PBEsol-relaxed geometry, from the Alexandria database.

Cell: 4.243 4.243 4.243 Å, 60.00 60.00 60.00°
Fractional coordinates of all 3 atoms:
Ni (0.000, 0.000, 0.000)
Te (0.250, 0.250, 0.250)
P (0.750, 0.750, 0.750)

#Q
The following is a meta-GGA SCAN calculation of NiTeP at its PBEsol-relaxed geometry, from the Alexandria database.

Cell: 5.651 5.651 5.651 Å, 147.54 147.54 46.57°
Fractional coordinates of all 3 atoms:
Ni (0.000, 0.000, 0.000)
Te (0.300, 0.300, 0.000)
P (0.559, 0.559, 0.000)

Most stable structure - #P; separation to the second - 5.0 kJ/mol of atoms.

#P
The following is a meta-GGA SCAN calculation of ZnNi2P at its PBEsol-relaxed geometry, from the Alexandria database.

Cell: 2.781 2.781 5.867 Å, 90.00 90.00 90.00°
Fractional coordinates of all 4 atoms:
Zn (0.000, 0.000, 0.000)
Ni (0.500, 0.500, 0.284)
Ni (0.500, 0.500, 0.716)
P (0.000, 0.000, 0.500)

#Q
The following is a meta-GGA SCAN calculation of ZnNi2P at its PBEsol-relaxed geometry, from the Alexandria database.

Cell: 4.514 4.514 4.514 Å, 135.38 135.38 64.95°
Fractional coordinates of all 4 atoms:
Zn (0.000, 0.000, 0.000)
Ni (0.500, 0.500, 0.000)
Ni (0.750, 0.250, 0.500)
P (0.250, 0.750, 0.500)

#R
The following is a meta-GGA SCAN calculation of ZnNi2P at its PBEsol-relaxed geometry, from the Alexandria database.

Cell: 3.820 3.820 3.062 Å, 90.00 90.00 90.00°
Fractional coordinates of all 4 atoms:
Zn (0.000, 0.000, 0.000)
Ni (0.000, 0.500, 0.500)
Ni (0.500, 0.000, 0.500)
P (0.500, 0.500, 0.000)

Most stable structure - #P; separation to the second - 2.3 kJ/mol of atoms.

#P
The following is a meta-GGA SCAN calculation of Ni3Pb2S2 at its PBEsol-relaxed geometry, from the Alexandria database.

Cell: 5.524 5.524 5.524 Å, 60.28 60.28 60.28°
Fractional coordinates of all 7 atoms:
Ni (0.000, 0.500, 0.500)
Ni (0.500, 0.000, 0.500)
Ni (0.500, 0.500, 0.000)
Pb (0.000, 0.000, 0.000)
Pb (0.500, 0.500, 0.500)
S (0.226, 0.226, 0.226)
S (0.774, 0.774, 0.774)

#Q
The following is a meta-GGA SCAN calculation of Ni3Pb2S2 at its PBEsol-relaxed geometry, from the Alexandria database.

Cell: 6.850 6.850 6.850 Å, 109.47 109.47 109.47°
Fractional coordinates of all 14 atoms:
Ni (0.011, 0.261, 0.750)
Ni (0.239, 0.250, 0.489)
Ni (0.250, 0.489, 0.239)
Ni (0.261, 0.750, 0.011)
Ni (0.489, 0.239, 0.250)
Ni (0.750, 0.011, 0.261)
Pb (0.000, 0.512, 0.500)
Pb (0.500, 0.000, 0.512)
Pb (0.512, 0.500, 0.000)
Pb (0.988, 0.988, 0.988)
S (0.000, 0.965, 0.500)
S (0.500, 0.000, 0.965)
S (0.535, 0.535, 0.535)
S (0.965, 0.500, 0.000)

Most stable structure - #P; separation to the second - 1.5 kJ/mol of atoms.

#P
The following is a meta-GGA SCAN calculation of ScNiPb2 at its PBEsol-relaxed geometry, from the Alexandria database.

Cell: 3.435 3.435 7.170 Å, 90.00 90.00 101.47°
Fractional coordinates of all 4 atoms:
Sc (0.000, 0.000, 0.000)
Ni (0.000, 0.000, 0.500)
Pb (0.500, 0.500, 0.282)
Pb (0.500, 0.500, 0.718)

#Q
The following is a meta-GGA SCAN calculation of ScNiPb2 at its PBEsol-relaxed geometry, from the Alexandria database.

Cell: 4.872 4.872 4.872 Å, 119.83 119.83 90.30°
Fractional coordinates of all 4 atoms:
Sc (0.000, 0.000, 0.000)
Ni (0.500, 0.500, 0.000)
Pb (0.250, 0.750, 0.500)
Pb (0.750, 0.250, 0.500)

Most stable structure - #P; separation to the second - 7.2 kJ/mol of atoms.

#P
The following is a meta-GGA SCAN calculation of TcNiPb2 at its PBEsol-relaxed geometry, from the Alexandria database.

Cell: 3.365 3.365 6.263 Å, 90.00 90.11 90.00°
Fractional coordinates of all 4 atoms:
Tc (0.000, 0.000, 0.000)
Ni (0.000, 0.000, 0.500)
Pb (0.499, 0.500, 0.747)
Pb (0.501, 0.500, 0.253)

#Q
The following is a meta-GGA SCAN calculation of TcNiPb2 at its PBEsol-relaxed geometry, from the Alexandria database.

Cell: 4.667 4.667 4.667 Å, 60.00 60.00 60.00°
Fractional coordinates of all 4 atoms:
Tc (0.000, 0.000, 0.000)
Ni (0.500, 0.500, 0.500)
Pb (0.250, 0.250, 0.250)
Pb (0.750, 0.750, 0.750)

Most stable structure - #P; separation to the second - 6.5 kJ/mol of atoms.

#P
The following is a meta-GGA SCAN calculation of ZnNiPb at its PBEsol-relaxed geometry, from the Alexandria database.

Cell: 4.335 4.335 4.335 Å, 60.00 60.00 60.00°
Fractional coordinates of all 3 atoms:
Zn (0.000, 0.000, 0.000)
Ni (0.500, 0.500, 0.500)
Pb (0.250, 0.250, 0.250)

#Q
The following is a meta-GGA SCAN calculation of ZnNiPb at its PBEsol-relaxed geometry, from the Alexandria database.

Cell: 4.234 4.234 4.234 Å, 60.00 60.00 60.00°
Fractional coordinates of all 3 atoms:
Zn (0.000, 0.000, 0.000)
Ni (0.750, 0.750, 0.750)
Pb (0.500, 0.500, 0.500)

Most stable structure - #Q; separation to the second - 36.7 kJ/mol of atoms.